1.
Crystalline BaSrRu at its relaxed geometry, computed with PBEsol.

## Properties
As for the calculated formation energy: 1.668 eV per formula unit. Its crystal system is cubic. As for the symmetry: F-43m (216). The value obtained for the uncorrected energy is -12.49 eV for the cell shown. The calculation puts the total moment at 0.0000 μB/atom.

Cell lengths 5.1093, 5.1093, 5.1093 Å; angles 60.00, 60.00, 60.00 degrees
Atoms (fractional coordinates):
Ba  0.5000  0.5000  0.5000
Ru  0.2500  0.2500  0.2500
Sr  0.0000  0.0000  0.0000

***

2.
Crystalline LiRuSeBr2 at its relaxed geometry, computed with PBEsol.

## Properties
Its crystal system is tetragonal. As for the symmetry: P4/mmm (123). The value obtained for the uncorrected energy is -16.61 eV for the cell shown. The calculation puts the total moment at 0.6422 μB/atom. The value obtained for the uncorrected formation energy is 0.62 eV per atom.

Cell lengths 4.6590, 4.6590, 4.7989 Å; angles 90.00, 90.00, 90.00 degrees
Each line ends with the local moment (μB).
Atoms (fractional coordinates):
Ru  0.5000  0.5000  0.5000  2.72
Se  0.0000  0.0000  0.5000  0.01
Br  0.0000  0.5000  0.0000  0.10
Br  0.5000  0.0000  0.0000  0.10
Li  0.0000  0.0000  0.0000  0.00

***

3.
Crystalline Ti3GaS at its relaxed geometry, computed with PBEsol.

## Properties
Its crystal system is cubic. As for the symmetry: Pm-3m (221). The value obtained for the uncorrected energy is -35.04 eV for the cell shown. The calculation puts the total moment at 0.0002 μB/atom. The value obtained for the uncorrected formation energy is -0.47 eV per atom.

Cell lengths 4.4146, 4.4146, 4.4146 Å; angles 90.00, 90.00, 90.00 degrees
Atoms (fractional coordinates):
S  0.0000  0.0000  0.0000
Ga  0.5000  0.5000  0.5000
Ti  0.0000  0.5000  0.0000
Ti  0.0000  0.0000  0.5000
Ti  0.5000  0.0000  0.0000

***

4.
Crystalline CrRh2Au at its relaxed geometry, computed with PBEsol.

## Properties
As for the calculated formation energy: 0.030 eV per formula unit. Its crystal system is trigonal. As for the symmetry: R-3m (166). The value obtained for the uncorrected energy is -30.41 eV for the cell shown. The calculation puts the total moment at 0.0003 μB/atom.

Cell lengths 2.6891, 2.6891, 8.9711 Å; angles 81.38, 81.38, 60.00 degrees
Atoms (fractional coordinates):
Au  0.5000  0.5000  0.5000
Rh  0.2585  0.2585  0.2246
Rh  0.7415  0.7415  0.7754
Cr  0.0000  0.0000  0.0000

***

5.
Crystalline NaMnIN2 at its relaxed geometry, computed with PBEsol.

## Properties
Its crystal system is tetragonal. As for the symmetry: P4/mmm (123). The value obtained for the uncorrected energy is -28.21 eV for the cell shown. The calculation puts the total moment at 0.0188 μB/atom. The value obtained for the uncorrected formation energy is 0.35 eV per atom.

Cell lengths 3.7378, 3.7378, 5.5358 Å; angles 90.00, 90.00, 90.00 degrees
Each line ends with the local moment (μB).
Atoms (fractional coordinates):
I  0.0000  0.0000  0.5000  0.00
Na  0.5000  0.5000  0.5000  0.00
Mn  0.0000  0.0000  0.0000  -0.06
N  0.0000  0.5000  0.0000  0.06
N  0.5000  0.0000  0.0000  0.06

***

6.
Crystalline MnZn2Tc at its relaxed geometry, computed with PBEsol.

## Properties
As for the calculated formation energy: 0.258 eV per formula unit. Its crystal system is trigonal. As for the symmetry: R3m (160). The value obtained for the uncorrected energy is -23.93 eV for the cell shown. The calculation puts the total moment at 0.0000 μB/atom.

Cell lengths 2.6437, 2.6437, 8.7252 Å; angles 81.29, 81.29, 60.00 degrees
Atoms (fractional coordinates):
Mn  0.5027  0.5027  0.4918
Tc  0.2435  0.2435  0.2694
Zn  0.9990  0.9990  0.0031
Zn  0.7548  0.7548  0.7357

***

7.
Crystalline CuIrSe2N at its relaxed geometry, computed with PBEsol.

## Properties
Its crystal system is tetragonal. As for the symmetry: P4/mmm (123). The value obtained for the uncorrected energy is -24.56 eV for the cell shown. The calculation puts the total moment at 0.1119 μB/atom. The value obtained for the uncorrected formation energy is 1.17 eV per atom.

Cell lengths 3.3488, 4.7968, 4.7968 Å; angles 90.00, 90.00, 90.00 degrees
Each line ends with the local moment (μB).
Atoms (fractional coordinates):
Ir  0.5000  0.5000  0.5000  0.04
Cu  0.0000  0.0000  0.0000  0.08
Se  0.0000  0.0000  0.5000  0.01
Se  0.0000  0.5000  0.0000  0.01
N  0.5000  0.0000  0.0000  0.30

***

8.
Crystalline K2Sr at its relaxed geometry, computed with PBEsol.

## Properties
As for the calculated formation energy: 0.285 eV per formula unit. Its crystal system is triclinic. As for the symmetry: P1 (1). The value obtained for the uncorrected energy is -7.64 eV for the cell shown. The calculation puts the total moment at 0.0000 μB/atom.

Cell lengths 4.3354, 8.6201, 10.8056 Å; angles 105.56, 90.17, 104.33 degrees
Atoms (fractional coordinates):
Sr  0.0636  0.1270  0.6251
Sr  0.7181  0.4358  0.9379
K  0.9977  0.9935  0.9921
K  0.6635  0.3288  0.3313
K  0.3331  0.6660  0.6654
K  0.3909  0.7823  0.2815

***

9.
Crystalline AlCrICl2 at its relaxed geometry, computed with PBEsol.

## Properties
Its crystal system is tetragonal. As for the symmetry: P4/mmm (123). The value obtained for the uncorrected energy is -17.00 eV for the cell shown. The calculation puts the total moment at 0.8089 μB/atom. The value obtained for the uncorrected formation energy is 0.62 eV per atom.

Cell lengths 4.8858, 6.1971, 6.1971 Å; angles 90.00, 90.00, 90.00 degrees
Each line ends with the local moment (μB).
Atoms (fractional coordinates):
I  0.0000  0.0000  0.0000  -0.25
Cr  0.5000  0.0000  0.0000  3.93
Al  0.5000  0.5000  0.5000  0.01
Cl  0.0000  0.0000  0.5000  -0.10
Cl  0.0000  0.5000  0.0000  -0.10

***

10.
Crystalline InHg4 at its relaxed geometry, computed with PBEsol.

## Properties
As for the calculated formation energy: 0.264 eV per formula unit. Its crystal system is tetragonal. As for the symmetry: I4/mmm (139). The value obtained for the uncorrected energy is -4.99 eV for the cell shown. The calculation puts the total moment at 0.0000 μB/atom.

Cell lengths 4.1667, 4.1667, 7.8695 Å; angles 105.35, 105.35, 90.00 degrees
Atoms (fractional coordinates):
Hg  0.7500  0.2500  0.5000
Hg  0.2500  0.7500  0.5000
Hg  0.5979  0.5979  0.1958
Hg  0.4021  0.4021  0.8042
In  0.0000  0.0000  0.0000

***

11.
Crystalline BaSrLa2 at its relaxed geometry, computed with PBEsol.

## Properties
As for the calculated formation energy: 0.852 eV per formula unit. Its crystal system is tetragonal. As for the symmetry: I-4m2 (119). The value obtained for the uncorrected energy is -13.83 eV for the cell shown. The calculation puts the total moment at 0.0001 μB/atom.

Cell lengths 5.5710, 5.5710, 6.6511 Å; angles 114.76, 114.76, 90.00 degrees
Atoms (fractional coordinates):
Ba  0.2500  0.7500  0.5000
La  0.0000  0.0000  0.0000
La  0.7500  0.2500  0.5000
Sr  0.5000  0.5000  0.0000

***

12.
Crystalline LiNb8O10 at its relaxed geometry, computed with PBEsol.

## Properties
Its crystal system is tetragonal. As for the symmetry: I4_1/amd (141). The value obtained for the uncorrected energy is -360.48 eV for the cell shown. The calculation puts the total moment at 0.0000 μB/atom. The value obtained for the uncorrected formation energy is -2.06 eV per atom.

Cell lengths 6.0837, 6.0837, 13.4094 Å; angles 103.11, 103.11, 90.00 degrees
Atoms (fractional coordinates):
Li  0.5000  0.5000  0.0000
Li  0.7500  0.2500  0.5000
Nb  0.2005  0.9548  0.4010
Nb  0.3739  0.1196  0.7477
Nb  0.6961  0.9505  0.9010
Nb  0.8782  0.1239  0.2477
Nb  0.3718  0.6261  0.2523
Nb  0.2048  0.9505  0.9010
Nb  0.3696  0.1239  0.2477
Nb  0.5539  0.7995  0.5990
Nb  0.8761  0.6304  0.7523
Nb  0.3739  0.6282  0.7477
Nb  0.0495  0.7952  0.0990
Nb  0.8761  0.1218  0.7523
Nb  0.2005  0.4461  0.4010
Nb  0.0452  0.7995  0.5990
Nb  0.8804  0.6261  0.2523
Nb  0.0495  0.3039  0.0990
O  0.2877  0.0184  0.5755
O  0.8071  0.0377  0.0755
O  0.4429  0.7123  0.4245
O  0.2762  0.5422  0.0843
O  0.2684  0.0377  0.0755
O  0.4578  0.1919  0.9157
O  0.9623  0.7316  0.9245
O  0.7922  0.5581  0.5843
O  0.2877  0.5571  0.5755
O  0.6250  0.3750  0.2500
O  0.6250  0.8750  0.2500
O  0.7922  0.0262  0.5843
O  0.4578  0.7238  0.9157
O  0.9816  0.7123  0.4245
O  0.8081  0.5422  0.0843
O  0.9738  0.2078  0.4157
O  0.4419  0.2078  0.4157
O  0.6250  0.3750  0.7500
O  0.1250  0.3750  0.7500
O  0.9623  0.1929  0.9245